# 1
KBa2LaIr (PBE, relaxed); symmetry = P4/mmm, No. 123; E_tot = -19.43 eV/cell; M_tot = 0.0 μB per formula unit
1.0
-4.107 5.044 0.370
-3.615 -3.261 4.330
3.006 2.145 4.125
Ba La Ir K
2 1 1 1
Cartesian
-2.054 2.522 0.185 Ba
-1.807 -1.630 2.165 Ba
1.503 1.073 2.063 La
0.000 0.000 0.000 Ir
-2.358 1.964 4.412 K

***

# 2
KBaLa2Ir (PBE, relaxed); symmetry = P4/mmm, No. 123; E_tot = -22.01 eV/cell; M_tot = 0.0 μB per formula unit
1.0
5.615 0.000 0.000
0.000 5.615 0.000
0.000 0.000 6.742
K La Ba Ir
1 2 1 1
Cartesian
0.000 0.000 3.371 K
0.000 2.808 0.000 La
2.808 0.000 0.000 La
2.808 2.808 3.371 Ba
0.000 0.000 0.000 Ir

***

# 3
KBa2LiIr (PBE, relaxed); symmetry = P4/mmm, No. 123; E_tot = -15.28 eV/cell; M_tot = 0.0 μB per formula unit
1.0
6.143 0.000 0.000
0.000 6.143 0.000
0.000 0.000 5.481
Ba K Li Ir
2 1 1 1
Cartesian
0.000 3.071 0.000 Ba
3.071 0.000 0.000 Ba
3.071 3.071 2.740 K
0.000 0.000 2.740 Li
0.000 0.000 0.000 Ir

***

# 4
KBaMg2Ir (PBE, relaxed); symmetry = P4/mmm, No. 123; E_tot = -15.19 eV/cell; M_tot = 0.0 μB per formula unit
1.0
-0.606 5.276 0.367
-2.256 -0.592 4.785
5.325 0.433 2.564
Mg K Ir Ba
2 1 1 1
Cartesian
-1.128 -0.296 2.393 Mg
-0.303 2.638 0.184 Mg
1.231 2.559 3.858 K
0.000 0.000 0.000 Ir
2.662 0.217 1.282 Ba

***

# 5
KBa2MgIr (PBE, relaxed); symmetry = P4/mmm, No. 123; E_tot = -15.58 eV/cell; M_tot = 0.0 μB per formula unit
1.0
6.179 0.000 0.000
0.000 6.179 0.000
0.000 0.000 5.407
K Mg Ba Ir
1 1 2 1
Cartesian
3.089 3.089 2.703 K
0.000 0.000 2.703 Mg
0.000 3.089 0.000 Ba
3.089 0.000 0.000 Ba
0.000 0.000 0.000 Ir

***

# 6
KBa2IrN2 (PBE, relaxed); symmetry = Pnnm, No. 58; E_tot = -63.09 eV/cell; M_tot = 1.7 μB per formula unit
1.0
-1.759 3.438 -2.886
-5.946 -1.909 1.351
-0.279 6.317 7.695
Ba Ir K N
4 2 2 4
Cartesian
-2.699 3.806 6.180 Ba
-3.526 0.602 2.867 Ba
-1.421 3.014 0.431 Ba
-6.563 4.831 5.730 Ba
0.000 0.000 0.000 Ir
-3.992 3.923 3.080 Ir
-0.140 3.158 3.848 K
-3.853 0.764 -0.767 K
-1.413 0.332 1.257 N
-5.336 2.706 2.450 N
-4.813 4.076 7.789 N
-2.648 5.140 3.711 N

***

# 7
KBa2NaIr (PBE, relaxed); symmetry = P4/mmm, No. 123; E_tot = -14.63 eV/cell; M_tot = 0.0 μB per formula unit
1.0
-0.146 0.103 6.105
-1.318 -5.963 0.069
5.981 -1.321 0.166
Ba K Na Ir
2 1 1 1
Cartesian
-0.073 0.051 3.052 Ba
-0.659 -2.981 0.034 Ba
2.258 -3.590 3.169 K
2.991 -0.660 0.083 Na
0.000 0.000 0.000 Ir

***

# 8
KBa2NaIr (PBE, relaxed); symmetry = P4/mmm, No. 123; E_tot = -14.57 eV/cell; M_tot = 0.0 μB per formula unit
1.0
-5.110 -3.257 -0.318
2.140 -2.880 -4.894
2.675 -4.574 3.861
Ba Na K Ir
2 1 1 1
Cartesian
1.070 -1.440 -2.447 Ba
-2.555 -1.628 -0.159 Ba
-0.148 -5.355 -0.675 Na
1.337 -2.287 1.931 K
0.000 0.000 0.000 Ir